Density functional theory data (PBE) for a relaxed structure of CaSmPd2.

a b c (Å): 4.1230 4.1230 20.7753
angles (deg): 90.00 90.00 120.00
Space group R-3m (No. 166, hexagonal axes)
Symmetry-distinct sites (fractional):
Ca  0.0000  0.0000  0.0000 [3 per cell]
Sm  0.0000  0.0000  0.5000 [3 per cell]
Pd  0.0000  0.0000  0.2473 [6 per cell]

Computed properties:
density of states at the Fermi level: 6.0 states/eV per cell
spin magnetization: 0.000 μB per atom
ΔE to the lowest computed polymorph: 174.7 meV per atom
formation energy from the elements: -0.597 eV per atom
theoretical density: 6.6 Mg/m³
E: -4.87 eV/atom